Entry 1:
BeGaCoAs2 | PBE | relaxed

Lattice parameters (Å, degrees): 4.439 4.439 4.148 90.00 90.00 90.00
Space group P4/mmm (No. 123)
Unique sites:
Be1 0.000 0.000 0.000
Ga1 0.500 0.500 0.500
Co1 0.000 0.000 0.500
As1 0.000 0.500 0.000

Computed properties:
The total energy comes out at -20.33 eV/cell.

---

Entry 2:
Cd2HgBr | PBE | relaxed

Lattice parameters (Å, degrees): 7.659 7.659 7.659 90.00 90.00 90.00
Space group F-43m (No. 216)
Unique sites:
Cd1 0.000 0.000 0.000
Cd2 0.250 0.250 0.250
Hg1 0.250 0.250 0.750
Br1 0.000 0.000 0.500

Computed properties:
As for the distance to the lowest polymorph of the same formula: 203.3 meV per atom. For the formation energy without anion corrections, the calculation gives 0.00 eV/atom.

---

Entry 3:
Mn2InMoAu | PBE | relaxed

Lattice parameters (Å, degrees): 4.611 4.611 5.282 90.00 90.00 90.00
Space group P4/mmm (No. 123)
Unique sites:
Mn1 0.000 0.500 0.000
In1 0.000 0.000 0.500
Mo1 0.000 0.000 0.000
Au1 0.500 0.500 0.500

Computed properties:
The total energy comes out at -29.68 eV/cell.

---

Entry 4:
CdCuBr2 | PBE | relaxed

Lattice parameters (Å, degrees): 7.150 7.150 7.150 90.00 90.00 90.00
Space group Fm-3m (No. 225)
Unique sites:
Cd1 0.000 0.000 0.000
Cu1 0.000 0.000 0.500
Br1 0.250 0.250 0.250

Computed properties:
As for the distance to the lowest polymorph of the same formula: 378.0 meV per atom. For the formation energy without anion corrections, the calculation gives 0.09 eV/atom.

---

Entry 5:
Sn2AsSe | PBE | relaxed

Lattice parameters (Å, degrees): 7.219 7.219 7.219 90.00 90.00 90.00
Space group Fm-3m (No. 225)
Unique sites:
Sn1 0.250 0.250 0.250
As1 0.000 0.000 0.000
Se1 0.000 0.000 0.500

Computed properties:
As for the distance to the lowest polymorph of the same formula: 252.0 meV per atom. For the formation energy without anion corrections, the calculation gives 0.03 eV/atom.

---

Entry 6:
Ba2NaMg | PBE | relaxed

Lattice parameters (Å, degrees): 4.2103 4.2103 37.3746 90.00 90.00 120.00
Space group R3m (No. 160, hexagonal axes)
Unique sites:
Ba1 0.0000 0.0000 0.0000
Ba2 0.0000 0.0000 0.1818
Na1 0.0000 0.0000 0.4241
Mg1 0.0000 0.0000 0.5908

Computed properties:
The total energy comes out at -19.04 eV/cell.

---

Entry 7:
ZnHg2Au | PBE | relaxed

Lattice parameters (Å, degrees): 4.022 4.213 5.444 90.00 109.40 90.00
Space group Pm (No. 6)
Unique sites:
Zn1 0.000 0.000 0.000
Hg1 0.427 0.500 0.858
Hg2 0.703 0.000 0.473
Au1 0.122 0.500 0.304

Computed properties:
The total energy comes out at -5.03 eV/cell.

---

Entry 8:
CsKBH4 | PBE | relaxed

Lattice parameters (Å, degrees): 6.176 6.176 8.683 90.00 90.00 90.00
Space group I-4 (No. 82)
Unique sites:
Cs1 0.000 0.000 0.000
K1 0.000 0.000 0.500
B1 0.000 0.500 0.250
H1 0.075 0.646 0.331

Computed properties:
The total energy comes out at -47.54 eV/cell.

---

Entry 9:
Ta2CS2 | PBE | relaxed

Lattice parameters (Å, degrees): 6.093 6.093 3.941 90.00 90.00 90.00
Space group P4/mbm (No. 127)
Unique sites:
Ta1 0.173 0.327 0.000
C1 0.000 0.000 0.000
S1 0.155 0.655 0.500

Computed properties:
As for the distance to the lowest polymorph of the same formula: 935.5 meV per atom. For the formation energy without anion corrections, the calculation gives 0.00 eV/atom.

---

Entry 10:
CaFeAs2 | PBE | relaxed

Lattice parameters (Å, degrees): 7.095 7.095 6.693 90.00 90.00 90.00
Space group I-42d (No. 122)
Unique sites:
Ca1 0.000 0.000 0.000
Fe1 0.000 0.000 0.500
As1 0.176 0.250 0.625

Computed properties:
As for the distance to the lowest polymorph of the same formula: 134.2 meV per atom.